(1)
Below is an optimized crystal structure of NaNb2O, with properties calculated at the GGA-PBE level.

Computed properties:
For the uncorrected energy, the calculation gives -109.22 eV for the cell shown. Its density of states at the Fermi level is 16.8 states/eV per cell.

a b c (Å): 7.501 7.501 4.547
angles (deg): 90.00 90.00 90.00
Space group I-42d (No. 122)
Inequivalent atoms, fractional coordinates:
Na (0.000, 0.000, 0.000)
Nb (0.131, 0.750, 0.625)
O (0.000, 0.000, 0.500)


(2)
Below is an optimized crystal structure of NaNb2O5, with properties calculated at the GGA-PBE level.

Computed properties:
For the uncorrected energy, the calculation gives -261.85 eV for the cell shown. As for the excess energy over the best structure of this formula in the dataset: 0.000 eV per atom. Its density of states at the Fermi level is 11.9 states/eV per cell.

a b c (Å): 3.864 10.701 10.449
angles (deg): 90.00 90.00 90.00
Space group Cmcm (No. 63)
Inequivalent atoms, fractional coordinates:
Na (0.000, 0.091, 0.250)
Nb (0.000, 0.367, 0.069)
O (0.000, 0.180, 0.539)
O (0.000, 0.313, 0.250)
O (0.000, 0.462, 0.616)


(3)
Below is an optimized crystal structure of NaNbO, with properties calculated at the GGA-PBE level.

Computed properties:
For the uncorrected energy, the calculation gives -113.82 eV for the cell shown. Its density of states at the Fermi level is 13.8 states/eV per cell.

a b c (Å): 3.6146 3.6146 31.9081
angles (deg): 90.00 90.00 120.00
Space group R-3m (No. 166, hexagonal axes)
Inequivalent atoms, fractional coordinates:
Na (0.0000, 0.0000, 0.1190)
Nb (0.0000, 0.0000, 0.3065)
O (0.0000, 0.0000, 0.3764)


(4)
Below is an optimized crystal structure of Na3Nb2O6, with properties calculated at the GGA-PBE level.

Computed properties:
For the uncorrected energy, the calculation gives -155.57 eV for the cell shown. Its density of states at the Fermi level is 4.6 states/eV per cell.

a b c (Å): 3.931 3.931 20.139
angles (deg): 90.00 90.00 90.00
Space group I4/mmm (No. 139)
Inequivalent atoms, fractional coordinates:
Na (0.000, 0.000, 0.000)
Na (0.000, 0.000, 0.192)
Nb (0.000, 0.000, 0.398)
O (0.000, 0.000, 0.306)
O (0.000, 0.500, 0.081)


(5)
Below is an optimized crystal structure of Na12NbO7, with properties calculated at the GGA-PBE level.

Computed properties:
For the uncorrected energy, the calculation gives -261.22 eV for the cell shown. Its density of states at the Fermi level is 12.4 states/eV per cell.

a b c (Å): 12.0196 12.0196 8.6809
angles (deg): 90.00 90.00 120.00
Space group R-3 (No. 148, hexagonal axes)
Inequivalent atoms, fractional coordinates:
Na (0.0268, 0.4455, 0.1500)
Na (0.0462, 0.8913, 0.8213)
Nb (0.0000, 0.0000, 0.5000)
O (0.0000, 0.0000, 0.0000)
O (0.0407, 0.8823, 0.3642)


(6)
Below is an optimized crystal structure of NaNb2O3, with properties calculated at the GGA-PBE level.

Computed properties:
For the uncorrected energy, the calculation gives -188.10 eV for the cell shown. Its density of states at the Fermi level is 6.1 states/eV per cell.

a b c (Å): 5.796 9.678 5.978
angles (deg): 90.00 90.29 90.00
Space group Cm (No. 8)
Inequivalent atoms, fractional coordinates:
Na (0.000, 0.166, 0.000)
Nb (0.272, 0.500, 0.466)
Nb (0.360, 0.134, 0.440)
Nb (0.466, 0.000, 0.843)
O (0.188, 0.332, 0.272)
O (0.273, 0.000, 0.142)
O (0.302, 0.500, 0.806)
O (0.315, 0.179, 0.767)